1.
A plane-wave DFT calculation with PBE was carried out for MgScAg3 after structural relaxation.

crystal system = triclinic
energy of formation from the pure elements = -0.2359 eV per atom
density of states at the Fermi level = 3.4 states/eV/f.u.
E = -3.532 eV per atom

Lattice parameters (Å, degrees): 4.928 4.940 8.128 72.41 89.97 89.88
Space group P-1 (No. 2)
Symmetry-distinct sites (fractional):
Mg (0.250, 0.144, 0.210) x2
Sc (0.250, 0.353, 0.794) x2
Ag (0.250, 0.548, 0.402) x2
Ag (0.250, 0.751, 0.998) x2
Ag (0.250, 0.949, 0.598) x2

***

2.
A plane-wave DFT calculation with PBE was carried out for Fe3PdI after structural relaxation.

uncorrected formation energy = 1.102 eV/atom
crystal system = cubic
density of states at the Fermi level = 6.8 states/eV/f.u.
E = -5.324 eV per atom

Lattice parameters (Å, degrees): 4.767 4.767 4.767 90.00 90.00 90.00
Space group Pm-3m (No. 221)
Symmetry-distinct sites (fractional):
Fe (0.000, 0.000, 0.500) x3
Pd (0.000, 0.000, 0.000) x1
I (0.500, 0.500, 0.500) x1

***

3.
A plane-wave DFT calculation with PBE was carried out for BSb2Te2 after structural relaxation.

uncorrected formation energy = 0.676 eV/atom
crystal system = tetragonal
density of states at the Fermi level = 2.8 states/eV/f.u.
E = -3.565 eV per atom

Lattice parameters (Å, degrees): 6.559 6.559 6.295 90.00 90.00 90.00
Space group P4/mbm (No. 127)
Symmetry-distinct sites (fractional):
B (0.000, 0.000, 0.000) x2
Sb (0.236, 0.264, 0.500) x4
Te (0.192, 0.308, 0.000) x4

***

4.
A plane-wave DFT calculation with PBE was carried out for TcHg2Te after structural relaxation.

uncorrected formation energy = 0.686 eV/atom
crystal system = tetragonal
density of states at the Fermi level = 3.0 states/eV/f.u.
E = -2.842 eV per atom

Lattice parameters (Å, degrees): 4.168 4.168 5.047 90.00 90.00 90.00
Space group P4/mmm (No. 123)
Symmetry-distinct sites (fractional):
Tc (0.000, 0.000, 0.000) x1
Hg (0.000, 0.500, 0.500) x2
Te (0.500, 0.500, 0.000) x1